Record 1
DFT (PBE) results for crystalline LiDy7Al4 at its relaxed geometry.

Cell and atoms, written as CIF:
```
data_LiDy7Al4
_cell_length_a 7.4363
_cell_length_b 7.4363
_cell_length_c 10.2379
_cell_angle_alpha 121.70
_cell_angle_beta 121.70
_cell_angle_gamma 42.69
_symmetry_space_group_name_H-M 'P 1'
_symmetry_Int_Tables_number 1
loop_
_symmetry_equiv_pos_as_xyz
'x,y,z'
loop_
_atom_site_label
_atom_site_type_symbol
_atom_site_fract_x
_atom_site_fract_y
_atom_site_fract_z
Li1 Li 0.0000 0.0000 0.0000
Dy1 Dy 0.0662 0.0662 0.3898
Dy2 Dy 0.2081 0.2081 0.8790
Dy3 Dy 0.2853 0.2853 0.3375
Dy4 Dy 0.5000 0.5000 0.0000
Dy5 Dy 0.7147 0.7147 0.6625
Dy6 Dy 0.7919 0.7919 0.1210
Dy7 Dy 0.9338 0.9338 0.6102
Al1 Al 0.3247 0.3247 0.6637
Al2 Al 0.4475 0.4475 0.2431
Al3 Al 0.5525 0.5525 0.7569
Al4 Al 0.6753 0.6753 0.3363
```

Calculated values
- crystal system = monoclinic
- formation energy from the elements (eV per atom) = -0.06

Record 2
DFT (PBE) results for crystalline KNb3Cd at its relaxed geometry.

Cell and atoms, written as CIF:
```
data_KNb3Cd
_cell_length_a 5.2175
_cell_length_b 5.2175
_cell_length_c 5.2175
_cell_angle_alpha 90.00
_cell_angle_beta 90.00
_cell_angle_gamma 90.00
_symmetry_space_group_name_H-M 'P 1'
_symmetry_Int_Tables_number 1
loop_
_symmetry_equiv_pos_as_xyz
'x,y,z'
loop_
_atom_site_label
_atom_site_type_symbol
_atom_site_fract_x
_atom_site_fract_y
_atom_site_fract_z
K1 K 0.0000 0.0000 0.0000
Nb1 Nb 0.0000 0.5000 0.5000
Nb2 Nb 0.5000 0.0000 0.5000
Nb3 Nb 0.5000 0.5000 0.0000
Cd1 Cd 0.5000 0.5000 0.5000
```

Calculated values
- crystal system = cubic
- formation energy from the elements (eV per atom) = 2.08
- energy above the most stable polymorph in this dataset (eV/atom) = 0.000